1.
{"formula": "Pm4ScTe7", "functional": "PBE", "state": "optimized geometry", "e_form_raw_kj_per_mol_fu": -1600, "lattice_angstrom": [[-1.000, -3.964, -1.310], [3.931, -0.769, 6.361], [-12.460, 1.779, 4.128]], "species": ["Pm", "Pm", "Pm", "Pm", "Sc", "Te", "Te", "Te", "Te", "Te", "Te", "Te"], "fractional_positions": [[0.699, 0.397, 0.803], [0.301, 0.601, 0.194], [0.999, 0.998, 0.995], [0.113, 0.226, 0.432], [0.886, 0.771, 0.575], [0.746, 0.493, 0.360], [0.271, 0.543, 0.648], [0.335, 0.671, 0.950], [0.662, 0.323, 0.048], [0.032, 0.063, 0.773], [0.965, 0.930, 0.217], [0.492, 0.983, 0.506]]}

***

2.
{"formula": "CrInRe2", "functional": "PBE", "state": "optimized geometry", "final_energy_ev_per_atom": -8.821, "lattice_angstrom": [[-1.722, -1.855, 1.137], [1.793, -1.119, -1.798], [5.828, -1.338, 6.642]], "species": ["Cr", "In", "Re", "Re"], "fractional_positions": [[0.000, 0.000, 0.480], [0.500, 0.500, 0.740], [0.000, 0.000, 0.017], [0.500, 0.500, 0.262]]}

***

3.
{"formula": "ZrAs2OsBr", "functional": "PBE", "state": "optimized geometry", "e_form_raw_kj_per_mol_fu": 561, "lattice_angstrom": [[5.233, 0.000, 0.000], [0.000, 5.233, 0.000], [0.000, 0.000, 5.118]], "species": ["As", "As", "Os", "Br", "Zr"], "fractional_positions": [[0.000, 0.500, 0.000], [0.500, 0.000, 0.000], [0.500, 0.500, 0.500], [0.000, 0.000, 0.500], [0.000, 0.000, 0.000]]}

***

4.
{"formula": "SmLuPtAu", "functional": "PBE", "state": "optimized geometry", "final_energy_ev_per_atom": -5.650, "lattice_angstrom": [[5.022, 0.000, 0.000], [2.511, 4.349, 0.000], [2.511, 1.450, 4.100]], "species": ["Lu", "Au", "Sm", "Pt"], "fractional_positions": [[0.500, 0.500, 0.500], [0.250, 0.250, 0.250], [0.000, 0.000, 0.000], [0.750, 0.750, 0.750]]}

***

5.
{"formula": "CoIrSe2", "functional": "PBE", "state": "optimized geometry", "e_form_raw_kj_per_mol_fu": 156, "lattice_angstrom": [[-2.683, -1.461, 0.555], [0.398, -1.705, -2.564], [3.069, -4.356, 3.371]], "species": ["Co", "Ir", "Se", "Se"], "fractional_positions": [[0.500, 0.500, 0.250], [0.500, 0.500, 0.750], [0.000, 0.000, 0.011], [0.000, 0.000, 0.489]]}